DFT (PBE+U) results for a relaxed Dy2CuW4O16 crystal. Values from VASP.

Computed properties:
Fermi-level density of states (states/eV/cell): 4.93
Energy (eV per atom): -7.509
Space-group type: C2/c (15)
Crystal system: monoclinic

The structure in Quantum ESPRESSO input format:
```
&SYSTEM
  ibrav = 0, nat = 46, ntyp = 4
/
ATOMIC_SPECIES
O 16.00 O.upf
W 183.84 W.upf
Cu 63.55 Cu.upf
Dy 162.50 Dy.upf
CELL_PARAMETERS angstrom
5.651 0.000 0.000
-2.826 9.849 0.032
0.000 -4.015 10.519
ATOMIC_POSITIONS crystal
O 0.366 0.974 0.123
O 0.956 0.739 0.898
O 0.239 0.216 0.273
O 0.977 0.216 0.773
O 0.255 0.467 0.448
O 0.477 0.766 0.926
O 0.212 0.734 0.674
O 0.522 0.734 0.174
O 0.889 0.019 0.410
O 0.788 0.533 0.052
O 0.761 0.784 0.727
O 0.111 0.981 0.590
O 0.067 0.491 0.739
O 0.023 0.784 0.227
O 0.288 0.766 0.426
O 0.634 0.026 0.877
O 0.217 0.261 0.602
O 0.608 0.974 0.623
O 0.933 0.509 0.261
O 0.870 0.981 0.090
O 0.044 0.261 0.102
O 0.576 0.509 0.761
O 0.130 0.019 0.910
O 0.712 0.234 0.574
O 0.424 0.491 0.239
O 0.392 0.026 0.377
O 0.783 0.739 0.398
O 0.478 0.266 0.826
O 0.523 0.234 0.074
O 0.212 0.467 0.948
O 0.788 0.266 0.326
O 0.745 0.533 0.552
W 0.131 0.888 0.408
W 0.309 0.377 0.786
W 0.757 0.888 0.908
W 0.243 0.112 0.092
W 0.068 0.377 0.286
W 0.869 0.112 0.592
W 0.691 0.623 0.214
W 0.932 0.623 0.714
Cu 0.355 0.000 0.750
Cu 0.645 0.000 0.250
Dy 0.180 0.698 0.042
Dy 0.518 0.698 0.542
Dy 0.820 0.302 0.958
Dy 0.482 0.302 0.458
```